(a)
A plane-wave DFT calculation with PBE was carried out for an optimized crystal structure of TaP2Pt.

Cell lengths 3.4112, 3.3718, 11.6222 Å; angles 90.00, 90.00, 90.00 degrees
Space group Amm2 (No. 38)
Asymmetric unit:
Ta 0.0000 0.0000 0.0000 (multiplicity 2)
P 0.0000 0.0000 0.3354 (multiplicity 2)
P 0.5000 0.0000 0.5864 (multiplicity 2)
Pt 0.5000 0.0000 0.7984 (multiplicity 2)

***

(b)
A plane-wave DFT calculation with PBE was carried out for an optimized crystal structure of TaP2Pt.

Cell lengths 8.6762, 3.0995, 5.0094 Å; angles 90.00, 96.53, 90.00 degrees
Space group C2/m (No. 12)
Asymmetric unit:
Ta 0.0000 0.0000 0.0000 (multiplicity 2)
P 0.2114 0.5000 0.8313 (multiplicity 4)
Pt 0.0000 0.5000 0.5000 (multiplicity 2)

***

Most stable structure - (a); separation to the second - 0.271 eV/atom.